Li2PmGa2Ge2 | PBE | optimized geometry

a b c (Å): 4.387 4.387 8.239
angles (deg): 74.56 74.56 60.00
Fractional positions:
1 Li 0.857 0.857 0.429
2 Li 0.143 0.143 0.571
3 Ga 0.441 0.441 0.677
4 Ga 0.559 0.559 0.323
5 Ge 0.743 0.743 0.772
6 Ge 0.257 0.257 0.228
7 Pm 0.000 0.000 0.000

Calculated values
Total DFT energy (no corrections), eV per atom: -3.85
Calculated density, kg/m3: 5638